Record 1
# Dy4Er7Mg

A geometry-optimized Dy4Er7Mg structure (GGA-PBE, Alexandria).

a b c (Å): 3.5146 3.5146 34.0280
angles (deg): 90.00 90.00 120.00
Fractional positions:
1 Dy 0.6667 0.3333 0.0846
2 Dy 0.3333 0.6667 0.9154
3 Dy 0.6667 0.3333 0.3377
4 Dy 0.3333 0.6667 0.6623
5 Er 0.0000 0.0000 0.0000
6 Er 0.6667 0.3333 0.5784
7 Er 0.3333 0.6667 0.4216
8 Er 0.6667 0.3333 0.8309
9 Er 0.3333 0.6667 0.1691
10 Er 0.0000 0.0000 0.2531
11 Er 0.0000 0.0000 0.7469
12 Mg 0.0000 0.0000 0.5000

Uncorrected energy   -51.7 eV for the cell shown
Theoretical density   8417 kg/m3

Record 2
# DyEr4Mg3

A geometry-optimized DyEr4Mg3 structure (GGA-PBE, Alexandria).

a b c (Å): 3.7892 5.3907 10.9164
angles (deg): 90.00 90.00 90.00
Fractional positions:
1 Mg 0.5000 0.0000 0.2512
2 Mg 0.5000 0.5000 0.5000
3 Mg 0.5000 0.0000 0.7488
4 Er 0.0000 0.0000 0.5000
5 Er 0.0000 0.5000 0.7383
6 Er 0.0000 0.0000 0.0000
7 Er 0.0000 0.5000 0.2617
8 Dy 0.5000 0.5000 0.0000

Uncorrected energy   -27.6 eV for the cell shown
Theoretical density   6735 kg/m3

- Which of these has the highest theoretical density?
  Dy4Er7Mg